KErReN3: relaxed, PBE.

Cell and atoms, written as extended XYZ:
```
12
Lattice="-2.872 2.227 1.349 -1.739 -1.678 -6.506 -2.657 -5.963 4.188" Properties=species:S:1:pos:R:3 pbc="T T T"
K -4.729 -5.948 -0.250
N -5.224 -2.955 -0.674
Re -0.887 -1.960 1.348
N -4.313 -0.588 -2.644
N -2.372 -0.845 1.914
Er -3.285 -2.940 -2.143
N -2.045 -2.459 -0.295
Re -6.381 -3.454 -2.317
N -2.955 -4.826 1.675
Er -3.983 -2.474 1.174
N -4.896 -4.570 -2.883
K -2.539 0.534 -0.719
```

- electronic total energy (eV/atom) = -7.760
- mass density (g/cm³) = 7.43
- E_form (uncorrected) (kJ per mole of atoms) = -55.9
- Fermi-level density of states (states/eV per cell) = 4.33